Entry 1:
Entry from the Alexandria database: CaDy2ReN4 after structural relaxation (GGA-PBE).

abc: 6.2224 6.2224 12.1323
angles: 90.00 90.00 148.29
Element x y z (fractional)
Ca 0.0612 0.9388 0.7500
Ca 0.9388 0.0612 0.2500
Dy 0.3718 0.6282 0.5409
Dy 0.3718 0.6282 0.9591
Dy 0.6282 0.3718 0.0409
Dy 0.6282 0.3718 0.4591
Re 0.1887 0.8113 0.2500
Re 0.8113 0.1887 0.7500
N 0.0000 0.0000 0.0000
N 0.0000 0.0000 0.5000
N 0.2614 0.7386 0.1137
N 0.2614 0.7386 0.3863
N 0.4106 0.5894 0.7500
N 0.5894 0.4106 0.2500
N 0.7386 0.2614 0.6137
N 0.7386 0.2614 0.8863

Values from the calculation:
Electronic total energy   -8.0745 eV/atom
Uncorrected formation energy   -0.96 eV per atom

Entry 2:
Entry from the Alexandria database: CaDy2RuN4 after structural relaxation (GGA-PBE).

abc: 6.1390 6.1390 11.6070
angles: 90.00 90.00 147.47
Element x y z (fractional)
Ca 0.1278 0.8722 0.7500
Ca 0.8722 0.1278 0.2500
Dy 0.3685 0.6315 0.5349
Dy 0.3685 0.6315 0.9651
Dy 0.6315 0.3685 0.0349
Dy 0.6315 0.3685 0.4651
Ru 0.1422 0.8578 0.2500
Ru 0.8578 0.1422 0.7500
N 0.0000 0.0000 0.0000
N 0.0000 0.0000 0.5000
N 0.2580 0.7420 0.1255
N 0.2580 0.7420 0.3745
N 0.4331 0.5669 0.7500
N 0.5669 0.4331 0.2500
N 0.7420 0.2580 0.6255
N 0.7420 0.2580 0.8745

Values from the calculation:
Electronic total energy   -7.6125 eV/atom
Uncorrected formation energy   -0.89 eV per atom

Entry 3:
Entry from the Alexandria database: CaDySiN3 after structural relaxation (GGA-PBE).

abc: 6.4901 6.4901 6.8994
angles: 105.32 105.32 33.43
Element x y z (fractional)
Ca 0.1510 0.1510 0.0728
Ca 0.8490 0.8490 0.9272
Dy 0.1515 0.1515 0.5791
Dy 0.8485 0.8485 0.4209
Si 0.4978 0.4978 0.7454
Si 0.5022 0.5022 0.2546
N 0.0035 0.0035 0.2656
N 0.3461 0.3461 0.6659
N 0.3519 0.3519 0.1853
N 0.6481 0.6481 0.8147
N 0.6539 0.6539 0.3341
N 0.9965 0.9965 0.7344

Values from the calculation:
Electronic total energy   -7.1925 eV/atom
Uncorrected formation energy   -1.03 eV per atom

Entry 4:
Entry from the Alexandria database: CaDy2SiN4 after structural relaxation (GGA-PBE).

abc: 6.0747 6.0747 11.6279
angles: 90.00 90.00 148.23
Element x y z (fractional)
Ca 0.0989 0.9011 0.7500
Ca 0.9011 0.0989 0.2500
Dy 0.3691 0.6309 0.5395
Dy 0.3691 0.6309 0.9605
Dy 0.6309 0.3691 0.0395
Dy 0.6309 0.3691 0.4605
Si 0.1798 0.8202 0.2500
Si 0.8202 0.1798 0.7500
N 0.0000 0.0000 0.0000
N 0.0000 0.0000 0.5000
N 0.2627 0.7373 0.1278
N 0.2627 0.7373 0.3722
N 0.4056 0.5944 0.7500
N 0.5944 0.4056 0.2500
N 0.7373 0.2627 0.6278
N 0.7373 0.2627 0.8722

Values from the calculation:
Electronic total energy   -7.5745 eV/atom
Uncorrected formation energy   -1.33 eV per atom

Entry 5:
Entry from the Alexandria database: CaDy2TaN4 after structural relaxation (GGA-PBE).

abc: 6.2158 6.2158 12.2024
angles: 90.00 90.00 148.17
Element x y z (fractional)
Ca 0.1083 0.8917 0.7500
Ca 0.8917 0.1083 0.2500
Dy 0.3705 0.6295 0.5313
Dy 0.3705 0.6295 0.9687
Dy 0.6295 0.3705 0.0313
Dy 0.6295 0.3705 0.4687
Ta 0.1585 0.8415 0.2500
Ta 0.8415 0.1585 0.7500
N 0.0000 0.0000 0.0000
N 0.0000 0.0000 0.5000
N 0.2570 0.7430 0.1234
N 0.2570 0.7430 0.3766
N 0.4363 0.5637 0.7500
N 0.5637 0.4363 0.2500
N 0.7430 0.2570 0.6234
N 0.7430 0.2570 0.8766

Values from the calculation:
Electronic total energy   -8.3088 eV/atom
Uncorrected formation energy   -1.26 eV per atom

Entry 6:
Entry from the Alexandria database: Ca4DyTa3N8 after structural relaxation (GGA-PBE).

abc: 6.7299 6.7299 6.7299
angles: 57.97 57.97 57.97
Element x y z (fractional)
Ca 0.0000 0.0000 0.0000
Ca 0.0000 0.5000 0.5000
Ca 0.5000 0.0000 0.5000
Ca 0.5000 0.5000 0.0000
Dy 0.5000 0.5000 0.5000
Ta 0.0000 0.0000 0.5000
Ta 0.0000 0.5000 0.0000
Ta 0.5000 0.0000 0.0000
N 0.2165 0.7479 0.7479
N 0.2378 0.2378 0.2378
N 0.2521 0.2521 0.7835
N 0.2521 0.7835 0.2521
N 0.7479 0.2165 0.7479
N 0.7479 0.7479 0.2165
N 0.7622 0.7622 0.7622
N 0.7835 0.2521 0.2521

Values from the calculation:
Electronic total energy   -8.4571 eV/atom
Uncorrected formation energy   -1.28 eV per atom